This record from Alexandria via LeMat-Bulk describes crystalline LiFeP4O12 at its relaxed geometry. The functional is PBE with a Hubbard U.

Lattice parameters (Å, degrees): 13.4650 5.2597 7.3249 80.40 90.00 90.00
Atoms (fractional coordinates):
1 O 0.8794 0.9928 0.1689
2 O 0.4120 0.3540 0.0270
3 O 0.6294 0.9555 0.7045
4 P 0.1874 0.8499 0.1794
5 O 0.1294 0.0445 0.2955
6 O 0.1243 0.7700 0.6240
7 O 0.1293 0.8264 0.0124
8 O 0.2893 0.0049 0.1305
9 P 0.0854 0.0110 0.4993
10 O 0.7962 0.8181 0.4769
11 Fe 0.2211 0.4817 0.5826
12 Li 0.5426 0.3380 0.1252
13 O 0.9715 0.9436 0.4720
14 O 0.6243 0.2300 0.3760
15 O 0.8436 0.2963 0.3973
16 O 0.3794 0.0072 0.8311
17 O 0.4715 0.0564 0.5280
18 P 0.5854 0.9890 0.5007
19 O 0.2962 0.1819 0.5231
20 O 0.7141 0.3901 0.6864
21 O 0.7432 0.6568 0.1474
22 O 0.0940 0.2618 0.5710
23 O 0.2432 0.3432 0.8526
24 O 0.3436 0.7037 0.6027
25 Li 0.0426 0.6620 0.8748
26 P 0.3659 0.9786 0.6189
27 O 0.2141 0.6099 0.3136
28 P 0.8659 0.0214 0.3811
29 O 0.7893 0.9951 0.8695
30 P 0.6874 0.1501 0.8206
31 O 0.5940 0.7382 0.4290
32 O 0.9120 0.6460 0.9730
33 P 0.8306 0.7935 0.0426
34 P 0.3306 0.2065 0.9574
35 Fe 0.7211 0.5183 0.4174
36 O 0.6293 0.1736 0.9876

Computed properties:
offset from the most stable computed form: 0.0304 eV per atom